[1]
VASP calculation (meta-GGA SCAN) on a crystal of AgAu3 relaxed with PBEsol.

```
4
Lattice="-2.317 -0.014 -1.704 2.561 -4.135 -1.022 -2.770 -1.689 3.779" Properties=species:S:1:pos:R:3 pbc="T T T"
Au -2.543 -0.851 1.038
Au -1.379 -3.339 1.901
Ag 0.000 0.000 0.000
Au -1.147 -2.500 -0.848
```

Space-group type: C2/m, No. 12
Energy relative to the elements in eV per atom: -0.05


[2]
VASP calculation (meta-GGA SCAN) on a crystal of SrTa2Bi2O9 relaxed with PBEsol.

```
28
Lattice="5.549 0.000 0.000 0.000 5.535 0.000 -2.775 0.000 15.008" Properties=species:S:1:pos:R:3 pbc="T T T"
Bi -1.500 3.120 9.028
O 0.003 1.452 12.976
O -1.745 2.832 11.072
O 4.519 0.065 3.936
O 3.413 1.160 8.495
O -0.638 3.928 6.513
Ta -1.402 2.829 12.944
Bi 1.274 3.120 5.979
Ta 1.402 0.062 12.944
Sr 4.136 2.828 0.000
O 1.745 0.065 11.072
Ta 1.372 2.829 2.064
O -0.003 4.213 1.679
Bi 4.275 0.352 5.979
O 2.771 4.219 2.032
O 3.942 0.068 0.000
O 2.778 1.452 2.032
O 1.030 2.832 3.936
Ta 4.177 0.062 2.064
O 2.778 1.445 13.329
O 2.771 4.213 13.329
O 0.638 1.160 6.513
O 2.137 3.928 8.495
O 1.607 2.835 0.000
Bi 1.500 0.352 9.028
O 0.003 1.445 1.679
Sr 1.413 0.061 0.000
O -0.003 4.219 12.976
```

Space-group type: Cmc2_1, No. 36
Formation energy without anion corrections in eV/atom: -2.42


[3]
VASP calculation (meta-GGA SCAN) on a crystal of Ti2FeAgW relaxed with PBEsol.

```
5
Lattice="4.390 0.000 0.000 0.000 4.390 0.000 0.000 0.000 4.449" Properties=species:S:1:pos:R:3 pbc="T T T"
Fe 0.000 0.000 0.000
Ag 2.195 2.195 2.225
Ti 0.000 2.195 0.000
Ti 2.195 0.000 0.000
W 0.000 0.000 2.225
```

Space-group type: P4/mmm, No. 123
Energy relative to the elements in eV per atom: 0.71


[4]
VASP calculation (meta-GGA SCAN) on a crystal of BaMgWF7 relaxed with PBEsol.

```
40
Lattice="-4.350 -2.604 -2.310 6.018 -3.535 -6.772 1.776 -8.130 5.822" Properties=species:S:1:pos:R:3 pbc="T T T"
W 1.254 -2.555 -1.931
F 2.186 -4.127 -2.936
F 1.890 -3.318 -0.111
F 2.290 -9.100 -5.273
F 4.718 -8.582 -3.514
F -1.462 -3.933 -4.321
F 2.386 -9.915 2.093
F 4.906 -10.336 1.061
Mg 2.952 -4.140 -4.800
Ba 0.388 -6.349 -3.184
F 0.565 -8.057 1.348
F -0.635 -3.218 1.065
Ba 6.340 -10.946 -2.561
F 4.765 -4.471 -3.937
F 4.079 -11.051 -4.325
W -1.303 -7.735 0.474
Ba -2.896 -3.324 -0.699
F 3.028 -13.205 -2.425
F 4.157 -6.183 -1.821
F 1.296 -6.110 -0.743
F -1.274 -5.688 0.254
F -1.321 -9.798 0.677
F 1.554 -10.952 -3.149
F -0.233 -3.971 -1.561
F 3.677 -10.299 -1.699
F 2.879 -6.212 -4.608
F 2.148 -8.159 -2.517
Ba 3.056 -7.921 -0.075
F 1.058 -4.354 -5.353
F -0.713 -8.087 -1.438
F -0.108 -9.839 3.337
F 3.552 -4.431 -6.597
F 1.154 -5.170 2.013
Mg 2.990 -9.559 -3.520
W 4.746 -6.535 -3.733
F 1.258 -10.143 -0.323
Mg 0.453 -4.711 0.261
F 0.416 -1.065 -0.835
W 2.190 -11.714 -1.328
Mg 0.492 -10.130 1.541
```

Space-group type: P2_1/c, No. 14
Formation energy without anion corrections in eV/atom: -3.20


[5]
VASP calculation (meta-GGA SCAN) on a crystal of La2BeBr relaxed with PBEsol.

```
4
Lattice="-0.121 4.486 1.842 -2.272 3.742 -2.876 -4.646 1.866 1.537" Properties=species:S:1:pos:R:3 pbc="T T T"
Be -0.060 2.243 0.921
La -1.838 4.769 1.039
La -5.201 5.325 -0.535
Br -3.459 2.804 -0.669
```

Space-group type: Immm, No. 71
Formation energy without anion corrections in eV/atom: -0.40


[6]
VASP calculation (meta-GGA SCAN) on a crystal of NaSb2Ru relaxed with PBEsol.

```
8
Lattice="6.928 0.000 0.000 -3.464 6.386 -0.105 0.000 -3.660 5.882" Properties=species:S:1:pos:R:3 pbc="T T T"
Sb 5.768 -1.606 5.120
Ru 0.000 0.448 4.359
Na 3.464 -1.830 2.941
Na 3.464 2.278 1.418
Sb 1.732 4.635 0.170
Ru 0.000 0.000 0.000
Sb 1.159 0.224 2.179
Sb -1.732 2.200 4.083
```

Space-group type: I-42d, No. 122
Formation energy without anion corrections in eV/atom: 0.15


[7]
VASP calculation (meta-GGA SCAN) on a crystal of NiOs2Pb relaxed with PBEsol.

```
4
Lattice="2.864 0.000 0.000 0.000 4.556 0.000 0.000 0.000 4.721" Properties=species:S:1:pos:R:3 pbc="T T T"
Pb 1.432 0.000 2.361
Os 0.000 0.000 0.000
Ni 0.000 2.278 2.361
Os 1.432 2.278 0.000
```

Space-group type: Pmmm, No. 47
Energy relative to the elements in eV per atom: 0.97


[8]
VASP calculation (meta-GGA SCAN) on a crystal of CdW3Br relaxed with PBEsol.

```
5
Lattice="-1.142 -0.186 -4.423 4.317 -1.056 -1.070 -0.978 -4.444 0.439" Properties=species:S:1:pos:R:3 pbc="T T T"
W -0.571 -0.093 -2.211
Br 0.000 0.000 0.000
W 2.159 -0.528 -0.535
W -0.489 -2.222 0.219
Cd 1.099 -2.843 -2.527
```

Space-group type: Pm-3m, No. 221
Formation energy without anion corrections in eV/atom: 2.29


[9]
VASP calculation (meta-GGA SCAN) on a crystal of Mg2PbSe relaxed with PBEsol.

```
4
Lattice="3.737 0.000 0.000 1.869 3.236 0.000 1.869 1.079 7.673" Properties=species:S:1:pos:R:3 pbc="T T T"
Se 0.000 0.000 0.000
Pb 3.737 2.158 3.837
Mg 1.869 1.079 1.602
Mg 5.606 3.236 6.072
```

Space-group type: R-3m, No. 166
Formation energy without anion corrections in eV/atom: -0.74


[10]
VASP calculation (meta-GGA SCAN) on a crystal of Sr2TiNi relaxed with PBEsol.

```
4
Lattice="5.320 0.000 0.000 2.660 4.608 0.000 2.660 1.536 4.344" Properties=species:S:1:pos:R:3 pbc="T T T"
Sr 7.981 4.608 3.258
Ti 0.000 0.000 0.000
Ni 5.320 3.072 2.172
Sr 2.660 1.536 1.086
```

Space-group type: Fm-3m, No. 225
Energy relative to the elements in eV per atom: 0.70


[11]
VASP calculation (meta-GGA SCAN) on a crystal of MgAlSn3 relaxed with PBEsol.

```
5
Lattice="5.248 0.000 0.000 0.000 5.248 0.000 0.000 0.000 5.248" Properties=species:S:1:pos:R:3 pbc="T T T"
Sn 0.000 0.000 2.624
Sn 2.624 0.000 0.000
Mg 2.624 2.624 2.624
Al 0.000 0.000 0.000
Sn 0.000 2.624 0.000
```

Space-group type: Pm-3m, No. 221
Energy relative to the elements in eV per atom: 0.46


[12]
VASP calculation (meta-GGA SCAN) on a crystal of MgCoAu2 relaxed with PBEsol.

```
4
Lattice="3.298 0.000 0.000 0.000 3.298 0.000 0.000 0.000 5.715" Properties=species:S:1:pos:R:3 pbc="T T T"
Mg 1.649 1.649 4.266
Au 0.000 0.000 5.657
Au 1.649 1.649 1.604
Co 0.000 0.000 2.762
```

Space-group type: P4mm, No. 99
Energy relative to the elements in eV per atom: -0.23


[13]
VASP calculation (meta-GGA SCAN) on a crystal of Ga3WC relaxed with PBEsol.

```
5
Lattice="4.140 0.000 0.000 0.000 4.140 0.000 0.000 0.000 4.140" Properties=species:S:1:pos:R:3 pbc="T T T"
C 0.000 0.000 0.000
W 2.070 2.070 2.070
Ga 0.000 0.000 2.070
Ga 0.000 2.070 0.000
Ga 2.070 0.000 0.000
```

Space-group type: Pm-3m, No. 221
Energy relative to the elements in eV per atom: 1.32


Short version: density of states at the Fermi level = 1.07; 0.00; 4.91; 0.00; 3.97; 3.32; 3.92; 2.60; 0.68; 6.99; 2.29; 1.89; 3.85 states/eV/cell, in the order given.